Record 1
5
Lattice="4.563 0.000 0.000 -2.281 3.952 0.000 0.000 0.000 5.219" Properties=species:S:1:pos:R:3 comment="Na2PtC2 PBE-GGA relaxed" crystal_system=trigonal e_above_lowest_polymorph_mev_per_atom=0.0 rho_g_cm3=4.7 e_form_kj_per_mol_atoms=-6 pbc="T T T"
Na 0.000 2.634 1.403
Na 2.281 1.317 3.816
Pt 0.000 0.000 0.000
C 0.000 0.000 1.972
C 0.000 0.000 3.247

---

Record 2
4
Lattice="3.106 0.000 0.000 0.000 4.517 0.000 -0.008 0.000 5.089" Properties=species:S:1:pos:R:3 comment="ScTeRu2 PBE-GGA relaxed" raw_formation_energy_kj_per_mol_fu=0 crystal_system=monoclinic rho_g_cm3=8.7 pbc="T T T"
Sc 0.000 0.000 0.000
Te 1.549 0.000 2.545
Ru 0.988 2.259 1.196
Ru 2.110 2.259 3.893